A relaxed Li4MnCo3O8 crystal. Source: Alexandria, functional PBE with a Hubbard U.

Unit cell a=2.8581 b=5.2584 c=9.7956 alpha=83.33 beta=90.00 gamma=90.00
Closest atoms and distances in Å follow each position.
Sites, in units of the cell vectors:
Co 0.0000 0.7667 0.2478  4 O 1.93-1.94
Co 0.0000 0.2333 0.7522  4 O 1.93-1.94
Co 0.5000 0.0000 0.0000  6 O 1.98-2.11
Li 0.0000 0.5000 0.0000  6 O 2.14-2.17
Li 0.5000 0.7461 0.7522  6 O 2.09-2.27
Li 0.5000 0.2539 0.2478  6 O 2.09-2.27
Li 0.0000 0.0000 0.5000  6 O 2.14-2.21
O 0.5000 0.1262 0.6399  2 Co 1.93, 2 Li 2.14
O 0.0000 0.1283 0.1144  3 Co 1.98-2.18, 3 Li 2.09-2.14
O 0.0000 0.8717 0.8856  3 Co 1.98-2.18, 3 Li 2.09-2.14
O 0.5000 0.3435 0.8649  3 Co 1.94-2.11
O 0.5000 0.8738 0.3601  2 Co 1.93, 2 Li 2.14
O 0.5000 0.6565 0.1351  3 Co 1.94-2.11
O 0.0000 0.3871 0.3840  2 Mn 1.96, 2 Li 2.13
O 0.0000 0.6129 0.6160  2 Mn 1.96, 2 Li 2.13
Mn 0.5000 0.5000 0.5000  4 O 1.96

Properties
- spin magnetization (μB/atom) = 0.750
- final energy (eV/atom) = -5.840